The following is a meta-GGA SCAN calculation of a PBEsol-optimized structure of Y2ScAg, from Alexandria.

The formation energy comes out at -0.1328 eV per atom.

It has space group P4mm (No. 99), with a = 3.442 Å, b = 3.442 Å, c = 8.473 Å, α = 90.00°, β = 90.00° and γ = 90.00°. The inequivalent atoms are Y at (0.000, 0.000, 0.000), Y at (0.500, 0.500, 0.305), Sc at (0.500, 0.500, 0.723) and Ag at (0.000, 0.000, 0.540).